Dy2ScIn3Te6: optimized geometry, PBE-GGA.

Unit cell a=7.538 b=7.538 c=8.452 alpha=98.55 beta=98.55 gamma=119.98
Fractional coordinates of all 12 atoms:
Dy: 0.166 0.834 0.000
Dy: 0.834 0.166 0.000
Sc: 0.500 0.500 0.000
In: 0.000 0.000 0.500
In: 0.329 0.671 0.500
In: 0.671 0.329 0.500
Te: 0.107 0.429 0.786
Te: 0.251 0.251 0.219
Te: 0.429 0.107 0.786
Te: 0.571 0.893 0.214
Te: 0.749 0.749 0.781
Te: 0.893 0.571 0.214

**E_form (uncorrected)**: -0.9262 eV per atom
**DOS(E_F)**: 0.65 states/eV/f.u.
**Space group**: No. 12